Entry 1:
Density functional theory data (PBE-GGA) for Zn2InCl after structural relaxation.

Unit cell a=4.185 b=4.185 c=11.094 alpha=90.00 beta=90.00 gamma=90.00
Atoms (fractional coordinates):
Zn 0.000 0.500 0.250
Zn 0.000 0.500 0.750
Zn 0.500 0.000 0.250
Zn 0.500 0.000 0.750
In 0.000 0.000 0.000
In 0.500 0.500 0.500
Cl 0.000 0.000 0.500
Cl 0.500 0.500 0.000

Calculated values
- Volume: 24.29 A^3/atom
- SG: No. 139
- ΔE_f (raw): -0.3 eV/f.u.
- Final energy: -1.860 eV/atom
- Calculated density: 4.80 Mg/m³
- M_tot: 0.00 Bohr magnetons per cell
- ΔE to the lowest computed polymorph: 123 meV/atom



Entry 2:
Density functional theory data (PBE-GGA) for KLa2WN after structural relaxation.

Unit cell a=5.399 b=5.399 c=6.375 alpha=90.00 beta=90.00 gamma=90.00
Atoms (fractional coordinates):
K 0.000 0.000 0.000
La 0.000 0.500 0.500
La 0.500 0.000 0.500
W 0.000 0.000 0.500
N 0.500 0.500 0.000

Calculated values
- Volume: 37.17 A^3/atom
- SG: No. 123
- ΔE_f (raw): 8.1 eV/f.u.
- Final energy: -4.835 eV/atom
- Calculated density: 4.60 Mg/m³
- M_tot: 1.85 Bohr magnetons per cell